1.
The following is a PBE calculation of crystalline SrSbI2O at its relaxed geometry, from Alexandria via LeMat-Bulk.

Summary:
ΔE_f (raw): -0.804 eV/atom
Offset from the most stable computed form: 0.0 meV/atom

abc: 6.3375 6.3375 4.1809
angles: 90.00 90.00 90.00
Atoms (fractional coordinates):
Sr 0.0000 0.0000 0.0000
Sb 0.5000 0.5000 0.5000
I 0.0000 0.5000 0.5000
I 0.5000 0.0000 0.5000
O 0.5000 0.5000 0.0000

2.
The following is a PBE calculation of crystalline BaMgPt2 at its relaxed geometry, from Alexandria via LeMat-Bulk.

Summary:
DFT formation energy: -353 meV per atom

abc: 6.0931 6.0931 6.0931
angles: 147.58 130.48 60.45
Atoms (fractional coordinates):
Ba 0.0000 0.0000 0.0000
Mg 0.3000 0.8000 0.5000
Pt 0.5085 0.5085 0.0000
Pt 0.7240 0.2240 0.5000

3.
The following is a PBE calculation of crystalline AcSm2Er4Tm at its relaxed geometry, from Alexandria via LeMat-Bulk.

Summary:
DFT formation energy: 446 meV per atom

abc: 9.5903 9.5903 6.8691
angles: 110.98 110.98 88.69
Atoms (fractional coordinates):
Ac 0.0000 0.5000 0.0000
Ac 0.5000 0.0000 0.5000
Sm 0.0000 0.0000 0.0000
Sm 0.0000 0.0000 0.5000
Sm 0.0000 0.5000 0.5000
Sm 0.5000 0.0000 0.0000
Er 0.2468 0.2630 0.5061
Er 0.2551 0.7449 0.5123
Er 0.2551 0.7449 0.9877
Er 0.2630 0.2468 0.0061
Er 0.7370 0.7532 0.9939
Er 0.7449 0.2551 0.0123
Er 0.7449 0.2551 0.4877
Er 0.7532 0.7370 0.4939
Tm 0.5000 0.5000 0.0000
Tm 0.5000 0.5000 0.5000

4.
The following is a PBE calculation of crystalline Tb2Sm5Dy12 at its relaxed geometry, from Alexandria via LeMat-Bulk.

Summary:
Offset from the most stable computed form: 0.0 meV/atom
DFT formation energy: 18 meV per atom

abc: 6.1752 9.4437 10.6919
angles: 100.99 95.49 90.10
Atoms (fractional coordinates):
Tb 0.0795 0.3170 0.4737
Tb 0.9205 0.6830 0.5263
Sm 0.2370 0.9472 0.4212
Sm 0.3417 0.3684 0.0529
Sm 0.5000 0.0000 0.0000
Sm 0.6583 0.6316 0.9471
Sm 0.7630 0.0528 0.5788
Dy 0.0259 0.1055 0.1581
Dy 0.1311 0.5263 0.7888
Dy 0.1837 0.7368 0.1051
Dy 0.2893 0.1586 0.7369
Dy 0.3953 0.5786 0.3689
Dy 0.4468 0.7884 0.6838
Dy 0.5532 0.2116 0.3162
Dy 0.6047 0.4214 0.6311
Dy 0.7107 0.8414 0.2631
Dy 0.8163 0.2632 0.8949
Dy 0.8689 0.4737 0.2112
Dy 0.9741 0.8945 0.8419

5.
The following is a PBE calculation of crystalline Ta2TlZn at its relaxed geometry, from Alexandria via LeMat-Bulk.

Summary:
DFT formation energy: 376 meV per atom

abc: 5.2960 5.2960 2.9022
angles: 92.47 92.47 114.64
Atoms (fractional coordinates):
Ta 0.0000 0.5000 0.0000
Ta 0.5000 0.0000 0.0000
Tl 0.0000 0.0000 0.5000
Zn 0.5000 0.5000 0.5000

6.
The following is a PBE calculation of crystalline TaCuAu at its relaxed geometry, from Alexandria via LeMat-Bulk.

Summary:
Offset from the most stable computed form: 20.3 meV/atom
DFT formation energy: 15 meV per atom

abc: 6.1657 6.1644 2.8693
angles: 76.57 76.52 26.91
Atoms (fractional coordinates):
Ta 0.0000 0.0000 0.0000
Cu 0.6565 0.6565 0.3435
Au 0.3166 0.3166 0.6834

V for every record listed, in sequence, given in Å³/cell: 167.9 91.4 546.8 609.1 73.7 47.9.